Here is a relaxed structure of AcThBi2 from the Alexandria database. Energies are from PBE-GGA.

For the energy above the most stable polymorph in this dataset, the calculation gives 0.147 eV/atom. The value obtained for the electronic total energy is -5.457 eV/atom. Its crystal system is tetragonal.

Unit cell a=4.047 b=4.047 c=8.178 alpha=90.00 beta=90.00 gamma=90.00
Sites, in units of the cell vectors:
Ac (0.500, 0.500, 0.000)
Bi (0.000, 0.000, 0.733)
Bi (0.000, 0.000, 0.267)
Th (0.500, 0.500, 0.500)

***

Here is a relaxed structure of Li2Mg from the Alexandria database. Energies are from PBE-GGA.

The value obtained for the electronic total energy is -1.836 eV/atom. Its crystal system is hexagonal.

Unit cell a=5.311 b=5.311 c=5.072 alpha=90.00 beta=90.00 gamma=120.00
Sites, in units of the cell vectors:
Li (0.667, 0.000, 0.000)
Li (0.333, 0.333, 0.000)
Li (0.000, 0.667, 0.000)
Li (0.000, 0.000, 0.500)
Mg (0.667, 0.333, 0.500)
Mg (0.333, 0.667, 0.500)

***

Here is a relaxed structure of AsC5 from the Alexandria database. Energies are from PBE-GGA.

For the energy above the most stable polymorph in this dataset, the calculation gives 2.196 eV/atom. The value obtained for the electronic total energy is -5.392 eV/atom. Its crystal system is hexagonal.

Unit cell a=4.788 b=4.788 c=2.427 alpha=90.00 beta=90.00 gamma=120.00
Sites, in units of the cell vectors:
As (0.000, 0.000, 0.000)
C (0.333, 0.667, 0.000)
C (0.667, 0.333, 0.000)
C (0.500, 0.000, 0.500)
C (0.000, 0.500, 0.500)
C (0.500, 0.500, 0.500)